Record 1
## Ac4AsSI2 (PBE)

Data for a relaxed Ac4AsSI2 crystal.

Values from the calculation:
Crystal system   monoclinic
ρ   7.6 g/cm3
Uncorrected formation energy   -1.357 eV/atom
N(E_F)   5.2 states/eV/f.u.

Cell: 7.5831 4.4038 8.7239 Å, 90.00 107.12 90.00°
Space group P2/m (No. 10)
Symmetry-distinct sites (fractional):
Ac 0.2228 0.0000 0.1974
Ac 0.2552 0.5000 0.7989
As 0.5000 0.0000 0.0000
S 0.0000 0.5000 0.0000
I 0.0000 0.0000 0.5000
I 0.5000 0.5000 0.5000

Record 2
## Ac4SbAsI2 (PBE)

Data for a relaxed Ac4SbAsI2 crystal.

Values from the calculation:
Crystal system   monoclinic
ρ   7.5 g/cm3
Uncorrected formation energy   -1.189 eV/atom
N(E_F)   3.0 states/eV/f.u.

Cell: 8.2178 4.6844 8.2973 Å, 90.00 108.97 90.00°
Space group P2/m (No. 10)
Symmetry-distinct sites (fractional):
Ac 0.2190 0.0000 0.2065
Ac 0.2424 0.5000 0.7854
Sb 0.5000 0.0000 0.0000
As 0.0000 0.5000 0.0000
I 0.0000 0.0000 0.5000
I 0.5000 0.5000 0.5000

Number 2 is which compound?
Ac4SbAsI2

Among the records above, which one has the highest ρ?
Ac4AsSI2

Repeat the second record exactly.
## Ac4SbAsI2 (PBE)

Data for a relaxed Ac4SbAsI2 crystal.

Values from the calculation:
Crystal system   monoclinic
ρ   7.5 g/cm3
Uncorrected formation energy   -1.189 eV/atom
N(E_F)   3.0 states/eV/f.u.

Cell: 8.2178 4.6844 8.2973 Å, 90.00 108.97 90.00°
Space group P2/m (No. 10)
Symmetry-distinct sites (fractional):
Ac 0.2190 0.0000 0.2065
Ac 0.2424 0.5000 0.7854
Sb 0.5000 0.0000 0.0000
As 0.0000 0.5000 0.0000
I 0.0000 0.0000 0.5000
I 0.5000 0.5000 0.5000

What is the uncorrected formation energy in the second record?
-1.189 eV/atom